(1)
La2TlAs | PBE-GGA | optimized geometry

abc: 8.6125 8.6125 8.6125
angles: 28.69 28.69 28.69
Sites, in units of the cell vectors:
La: 0.2379 0.2379 0.2379
La: 0.7621 0.7621 0.7621
Tl: 0.0000 0.0000 0.0000
As: 0.5000 0.5000 0.5000

## Properties
Its energy relative to the lowest polymorph listed for this composition is 0.0000 eV per atom. The value obtained for the formation energy is -0.934 eV/atom. As for the space group: R-3m, No. 166.


(2)
PrEr2US8 | PBE-GGA | optimized geometry

abc: 5.9341 6.2537 8.3077
angles: 90.00 90.04 90.55
Sites, in units of the cell vectors:
Pr: 0.0000 0.0000 0.0000
Er: 0.5003 0.5000 0.2578
Er: 0.4997 0.5000 0.7422
U: 0.0000 0.0000 0.5000
S: 0.2234 0.4288 0.0000
S: 0.2466 0.3422 0.4997
S: 0.2505 0.8654 0.2732
S: 0.2509 0.8660 0.7271
S: 0.7491 0.1340 0.2729
S: 0.7495 0.1346 0.7268
S: 0.7534 0.6578 0.5003
S: 0.7766 0.5712 0.0000

## Properties
The total DFT energy (no corrections) comes out at -76.03 eV for the cell shown. As for the space group: P-1, No. 2.


(3)
YSn2Rh4 | PBE-GGA | optimized geometry

abc: 7.5358 7.5358 7.5358
angles: 142.18 142.18 54.56
Sites, in units of the cell vectors:
Y: 0.0000 0.0000 0.0000
Sn: 0.3838 0.3838 0.0000
Sn: 0.6162 0.6162 0.0000
Rh: 0.0000 0.5000 0.5000
Rh: 0.1949 0.1949 0.0000
Rh: 0.5000 0.0000 0.5000
Rh: 0.8051 0.8051 0.0000

## Properties
Its energy relative to the lowest polymorph listed for this composition is 0.9765 eV per atom. The value obtained for the formation energy is 0.514 eV/atom. As for the space group: I4/mmm, No. 139.


Please write out number 2 again, unchanged.
PrEr2US8 | PBE-GGA | optimized geometry

abc: 5.9341 6.2537 8.3077
angles: 90.00 90.04 90.55
Sites, in units of the cell vectors:
Pr: 0.0000 0.0000 0.0000
Er: 0.5003 0.5000 0.2578
Er: 0.4997 0.5000 0.7422
U: 0.0000 0.0000 0.5000
S: 0.2234 0.4288 0.0000
S: 0.2466 0.3422 0.4997
S: 0.2505 0.8654 0.2732
S: 0.2509 0.8660 0.7271
S: 0.7491 0.1340 0.2729
S: 0.7495 0.1346 0.7268
S: 0.7534 0.6578 0.5003
S: 0.7766 0.5712 0.0000

## Properties
The total DFT energy (no corrections) comes out at -76.03 eV for the cell shown. As for the space group: P-1, No. 2.